Entry 1:
SiPW2 | PBE | optimized geometry

Structure (CIF):
```
data_SiPW2
_chemical_formula_sum 'Si1 P1 W2'
_cell_length_a 3.161
_cell_length_b 3.161
_cell_length_c 5.660
_cell_angle_alpha 90.00
_cell_angle_beta 90.00
_cell_angle_gamma 90.00
_space_group_name_H-M_alt 'P 4 m m'
_space_group_IT_number 99
_space_group_name_Hall 'P 4 -2'
loop_
_atom_site_label
_atom_site_fract_x
_atom_site_fract_y
_atom_site_fract_z
Si1 0.000 0.000 0.000
P1 0.500 0.500 0.743
W1 0.000 0.000 0.539
W2 0.500 0.500 0.207
```

Results
Total magnetization   0.000 μB/atom
DOS at the Fermi energy   1.546 states/eV/f.u.
Formation energy without anion corrections   -1.117 eV per formula unit

---

Entry 2:
SiPW2 | PBE | optimized geometry

Structure (CIF):
```
data_SiPW2
_chemical_formula_sum 'Si1 P1 W2'
_cell_length_a 3.181
_cell_length_b 3.870
_cell_length_c 4.781
_cell_angle_alpha 90.00
_cell_angle_beta 90.00
_cell_angle_gamma 90.00
_space_group_name_H-M_alt 'P m m m'
_space_group_IT_number 47
_space_group_name_Hall '-P 2 2'
loop_
_atom_site_label
_atom_site_fract_x
_atom_site_fract_y
_atom_site_fract_z
Si1 0.000 0.000 0.000
P1 0.500 0.000 0.500
W1 0.000 0.500 0.500
W2 0.500 0.500 0.000
```

Results
Total magnetization   0.000 μB/atom
DOS at the Fermi energy   3.318 states/eV/f.u.
Formation energy without anion corrections   1.179 eV per formula unit

---

Entry 3:
SiPW2 | PBE | optimized geometry

Structure (CIF):
```
data_SiPW2
_chemical_formula_sum 'Si2 P2 W4'
_cell_length_a 8.695
_cell_length_b 3.098
_cell_length_c 4.414
_cell_angle_alpha 90.00
_cell_angle_beta 105.96
_cell_angle_gamma 90.00
_space_group_name_H-M_alt 'C 1 m 1'
_space_group_IT_number 8
_space_group_name_Hall 'C -2y'
loop_
_atom_site_label
_atom_site_fract_x
_atom_site_fract_y
_atom_site_fract_z
Si1 0.000 0.000 0.000
P1 0.251 0.000 0.670
W1 0.013 0.500 0.518
W2 0.241 0.500 0.148
```

Results
Total magnetization   0.000 μB/atom
DOS at the Fermi energy   2.879 states/eV/f.u.
Formation energy without anion corrections   -0.552 eV per formula unit